## CaSiPd (GGA-PBE)

Data for a relaxed CaSiPd crystal.

a b c (Å): 5.734 5.734 7.138
angles (deg): 128.40 128.40 43.88
Sites, in units of the cell vectors:
1 Ca 0.063 0.063 0.296
2 Ca 0.937 0.937 0.704
3 Si 0.352 0.352 0.301
4 Si 0.648 0.648 0.699
5 Pd 0.290 0.290 0.894
6 Pd 0.710 0.710 0.106

Space-group type: C2/m (12)
Magnetization in μB/cell: 0.0
Total DFT energy (no corrections) in eV per atom: -4.943